DFT (SCAN) results for a crystal of Sc2Mn2Ni relaxed with PBEsol.

```
data_Sc2Mn2Ni
_space_group_name_H-M_alt 'I 4/m m m'
_space_group_IT_number 139
_space_group_name_Hall '-I 4 2'
_cell_length_a 3.1164
_cell_length_b 3.1164
_cell_length_c 15.6110
_cell_angle_alpha 90.00
_cell_angle_beta 90.00
_cell_angle_gamma 90.00
loop_
_atom_site_label
_atom_site_type_symbol
_atom_site_fract_x
_atom_site_fract_y
_atom_site_fract_z
Sc1 Sc 0.0000 0.0000 0.1018
Mn1 Mn 0.0000 0.5000 0.2500
Ni1 Ni 0.0000 0.0000 0.5000
```

formation enthalpy at 0 K: 0.107 eV per atom
VASP energy: -16.125 eV/atom


DFT (SCAN) results for a crystal of Rb3GaMo relaxed with PBEsol.

```
data_Rb3GaMo
_space_group_name_H-M_alt 'P m -3 m'
_space_group_IT_number 221
_space_group_name_Hall '-P 4 2 3'
_cell_length_a 6.5761
_cell_length_b 6.5761
_cell_length_c 6.5761
_cell_angle_alpha 90.00
_cell_angle_beta 90.00
_cell_angle_gamma 90.00
loop_
_atom_site_label
_atom_site_type_symbol
_atom_site_fract_x
_atom_site_fract_y
_atom_site_fract_z
Rb1 Rb 0.0000 0.0000 0.5000
Ga1 Ga 0.0000 0.0000 0.0000
Mo1 Mo 0.5000 0.5000 0.5000
```

formation enthalpy at 0 K: 1.161 eV per atom
VASP energy: -21.529 eV/atom


DFT (SCAN) results for a crystal of Y2MgIrRh relaxed with PBEsol.

```
data_Y2MgIrRh
_space_group_name_H-M_alt 'P 4/m m m'
_space_group_IT_number 123
_space_group_name_Hall '-P 4 2'
_cell_length_a 5.0716
_cell_length_b 5.0716
_cell_length_c 4.6595
_cell_angle_alpha 90.00
_cell_angle_beta 90.00
_cell_angle_gamma 90.00
loop_
_atom_site_label
_atom_site_type_symbol
_atom_site_fract_x
_atom_site_fract_y
_atom_site_fract_z
Y1 Y 0.0000 0.5000 0.0000
Mg1 Mg 0.0000 0.0000 0.5000
Ir1 Ir 0.5000 0.5000 0.5000
Rh1 Rh 0.0000 0.0000 0.0000
```

formation enthalpy at 0 K: -0.028 eV per atom
VASP energy: -33.134 eV/atom


DFT (SCAN) results for a crystal of RbNb2Al relaxed with PBEsol.

```
data_RbNb2Al
_space_group_name_H-M_alt 'I 41/a m d'
_space_group_IT_number 141
_cell_length_a 4.9001
_cell_length_b 4.9001
_cell_length_c 20.2838
_cell_angle_alpha 90.00
_cell_angle_beta 90.00
_cell_angle_gamma 90.00
loop_
_space_group_symop_operation_xyz
'x,y,z'
'-x,-y,-z'
'-y+1/4,x+3/4,z+1/4'
'y+1/4,-x+3/4,-z+1/4'
'-x+1/2,-y,z+1/2'
'x+1/2,y,-z+1/2'
'y+1/4,-x+1/4,z+3/4'
'-y+1/4,x+1/4,-z+3/4'
'x,-y,-z'
'-x,y,z'
'-y+1/4,-x+1/4,-z+3/4'
'y+1/4,x+1/4,z+3/4'
'-x+1/2,y,-z+1/2'
'x+1/2,-y,z+1/2'
'y+1/4,x+3/4,-z+1/4'
'-y+1/4,-x+3/4,z+1/4'
'x+1/2,y+1/2,z+1/2'
'-x+1/2,-y+1/2,-z+1/2'
'-y+3/4,x+1/4,z+3/4'
'y+3/4,-x+1/4,-z+3/4'
'-x,-y+1/2,z'
'x,y+1/2,-z'
'y+3/4,-x+3/4,z+1/4'
'-y+3/4,x+3/4,-z+1/4'
'x+1/2,-y+1/2,-z+1/2'
'-x+1/2,y+1/2,z+1/2'
'-y+3/4,-x+3/4,-z+1/4'
'y+3/4,x+3/4,z+1/4'
'-x,y+1/2,-z'
'x,-y+1/2,z'
'y+3/4,x+1/4,-z+3/4'
'-y+3/4,-x+1/4,z+3/4'
loop_
_atom_site_label
_atom_site_type_symbol
_atom_site_fract_x
_atom_site_fract_y
_atom_site_fract_z
Rb1 Rb 0.0000 0.2500 0.3750
Nb1 Nb 0.0000 0.0000 0.0000
Al1 Al 0.0000 0.2500 0.8750
```

formation enthalpy at 0 K: 1.362 eV per atom
VASP energy: -22.325 eV/atom


DFT (SCAN) results for a crystal of TlGa3Au relaxed with PBEsol.

```
data_TlGa3Au
_space_group_name_H-M_alt 'P m -3 m'
_space_group_IT_number 221
_space_group_name_Hall '-P 4 2 3'
_cell_length_a 4.9592
_cell_length_b 4.9592
_cell_length_c 4.9592
_cell_angle_alpha 90.00
_cell_angle_beta 90.00
_cell_angle_gamma 90.00
loop_
_atom_site_label
_atom_site_type_symbol
_atom_site_fract_x
_atom_site_fract_y
_atom_site_fract_z
Tl1 Tl 0.0000 0.0000 0.0000
Ga1 Ga 0.0000 0.5000 0.5000
Au1 Au 0.5000 0.5000 0.5000
```

formation enthalpy at 0 K: 0.149 eV per atom
VASP energy: -37.962 eV/atom


DFT (SCAN) results for a crystal of SrTcNi relaxed with PBEsol.

```
data_SrTcNi
_space_group_name_H-M_alt 'F -4 3 m'
_space_group_IT_number 216
_space_group_name_Hall 'F -4 2 3'
_cell_length_a 6.3856
_cell_length_b 6.3856
_cell_length_c 6.3856
_cell_angle_alpha 90.00
_cell_angle_beta 90.00
_cell_angle_gamma 90.00
loop_
_atom_site_label
_atom_site_type_symbol
_atom_site_fract_x
_atom_site_fract_y
_atom_site_fract_z
Sr1 Sr 0.0000 0.0000 0.0000
Tc1 Tc 0.2500 0.2500 0.2500
Ni1 Ni 0.2500 0.2500 0.7500
```

formation enthalpy at 0 K: 1.851 eV per atom
VASP energy: -22.652 eV/atom


DFT (SCAN) results for a crystal of MgCdP2S relaxed with PBEsol.

```
data_MgCdP2S
_space_group_name_H-M_alt 'P 4/m m m'
_space_group_IT_number 123
_space_group_name_Hall '-P 4 2'
_cell_length_a 4.7741
_cell_length_b 4.7741
_cell_length_c 4.7035
_cell_angle_alpha 90.00
_cell_angle_beta 90.00
_cell_angle_gamma 90.00
loop_
_atom_site_label
_atom_site_type_symbol
_atom_site_fract_x
_atom_site_fract_y
_atom_site_fract_z
Mg1 Mg 0.0000 0.0000 0.0000
Cd1 Cd 0.5000 0.5000 0.5000
P1 P 0.0000 0.5000 0.0000
S1 S 0.0000 0.0000 0.5000
```

VASP energy: -12.497 eV/atom


DFT (SCAN) results for a crystal of TiH12N4F8 relaxed with PBEsol.

```
data_TiH12N4F8
_space_group_name_H-M_alt 'P c c n'
_space_group_IT_number 56
_cell_length_a 5.4400
_cell_length_b 13.5546
_cell_length_c 10.8577
_cell_angle_alpha 90.00
_cell_angle_beta 90.00
_cell_angle_gamma 90.00
loop_
_space_group_symop_operation_xyz
'x,y,z'
'-x,-y,-z'
'-x+1/2,-y+1/2,z'
'x+1/2,y+1/2,-z'
'x+1/2,-y,-z+1/2'
'-x+1/2,y,z+1/2'
'-x,y+1/2,-z+1/2'
'x,-y+1/2,z+1/2'
loop_
_atom_site_label
_atom_site_type_symbol
_atom_site_fract_x
_atom_site_fract_y
_atom_site_fract_z
Ti1 Ti 0.2500 0.2500 0.1252
H1 H 0.0035 0.5569 0.1433
H2 H 0.0114 0.0595 0.8926
H3 H 0.1029 0.6692 0.5539
H4 H 0.1133 0.6680 0.1976
H5 H 0.2174 0.5594 0.4980
H6 H 0.2290 0.5593 0.2546
N1 N 0.1512 0.5962 0.5787
N2 N 0.1655 0.5955 0.1735
F1 F 0.0092 0.2300 0.7478
F2 F 0.0096 0.2292 0.5022
F3 F 0.1748 0.1160 0.1256
F4 F 0.2301 0.0000 0.3783
```

VASP energy: -6.362 eV/atom


DFT (SCAN) results for a crystal of ZrTePt relaxed with PBEsol.

```
data_ZrTePt
_space_group_name_H-M_alt 'F -4 3 m'
_space_group_IT_number 216
_space_group_name_Hall 'F -4 2 3'
_cell_length_a 6.5451
_cell_length_b 6.5451
_cell_length_c 6.5451
_cell_angle_alpha 90.00
_cell_angle_beta 90.00
_cell_angle_gamma 90.00
loop_
_atom_site_label
_atom_site_type_symbol
_atom_site_fract_x
_atom_site_fract_y
_atom_site_fract_z
Zr1 Zr 0.0000 0.0000 0.0000
Te1 Te 0.2500 0.2500 0.7500
Pt1 Pt 0.2500 0.2500 0.2500
```

VASP energy: -46.665 eV/atom


DFT (SCAN) results for a crystal of HfI4 relaxed with PBEsol.

```
data_HfI4
_space_group_name_H-M_alt 'P a -3'
_space_group_IT_number 205
_space_group_name_Hall '-P 2ac 2ab 3'
_cell_length_a 12.3312
_cell_length_b 12.3312
_cell_length_c 12.3312
_cell_angle_alpha 90.00
_cell_angle_beta 90.00
_cell_angle_gamma 90.00
loop_
_atom_site_label
_atom_site_type_symbol
_atom_site_fract_x
_atom_site_fract_y
_atom_site_fract_z
Hf1 Hf 0.1278 0.1278 0.1278
I1 I 0.0014 0.2483 0.5061
I2 I 0.2483 0.7483 0.7517
```

VASP energy: -42.825 eV/atom


DFT (SCAN) results for a crystal of LiSc2Fe relaxed with PBEsol.

```
data_LiSc2Fe
_space_group_name_H-M_alt 'P 4/m m m'
_space_group_IT_number 123
_space_group_name_Hall '-P 4 2'
_cell_length_a 3.0697
_cell_length_b 3.0697
_cell_length_c 7.8645
_cell_angle_alpha 90.00
_cell_angle_beta 90.00
_cell_angle_gamma 90.00
loop_
_atom_site_label
_atom_site_type_symbol
_atom_site_fract_x
_atom_site_fract_y
_atom_site_fract_z
Li1 Li 0.0000 0.0000 0.0000
Sc1 Sc 0.5000 0.5000 0.3119
Fe1 Fe 0.0000 0.0000 0.5000
```

formation enthalpy at 0 K: -0.044 eV per atom
VASP energy: -12.292 eV/atom


DFT (SCAN) results for a crystal of TlFeMo3 relaxed with PBEsol.

```
data_TlFeMo3
_space_group_name_H-M_alt 'P m -3 m'
_space_group_IT_number 221
_space_group_name_Hall '-P 4 2 3'
_cell_length_a 4.4450
_cell_length_b 4.4450
_cell_length_c 4.4450
_cell_angle_alpha 90.00
_cell_angle_beta 90.00
_cell_angle_gamma 90.00
loop_
_atom_site_label
_atom_site_type_symbol
_atom_site_fract_x
_atom_site_fract_y
_atom_site_fract_z
Tl1 Tl 0.0000 0.0000 0.0000
Fe1 Fe 0.5000 0.5000 0.5000
Mo1 Mo 0.0000 0.5000 0.5000
```

formation enthalpy at 0 K: 1.187 eV per atom
VASP energy: -37.842 eV/atom